Computed, not measured: a relaxed structure of Pu5PSe4 at the PBE level of DFT.

Calculated values
* total energy: -10.540 eV/atom
* D(E_F): 5.063 states/eV/atom
* V: 24.7 Å³ per atom

Unit cell a=5.814 b=7.140 c=7.140 alpha=80.46 beta=65.97 gamma=65.97
Each line ends with the local moment (μB).
Atoms (fractional coordinates):
Se 0.805 0.794 0.598  -0.07
Se 0.599 0.598 0.206  -0.07
P 0.001 0.000 0.000  -0.05
Pu 0.710 0.193 0.389  5.29
Se 0.197 0.206 0.402  -0.07
Se 0.403 0.402 0.794  -0.07
Pu 0.292 0.807 0.611  5.29
Pu 0.903 0.389 0.807  5.29
Pu 0.501 0.000 0.000  -5.21
Pu 0.099 0.611 0.193  5.29



Computed, not measured: a relaxed structure of Mn2IrPb at the PBE level of DFT.

Calculated values
* ΔH_f (0 K): 2.29 eV per formula unit
* D(E_F): 1.142 states/eV/atom
* V: 18.8 Å³ per atom

Unit cell a=7.362 b=7.362 c=5.902 alpha=51.42 beta=51.42 gamma=90.00
Each line ends with the local moment (μB).
Atoms (fractional coordinates):
Ir 0.500 0.500 0.000  0.12
Mn 0.375 0.415 0.750  3.50
Ir 0.250 0.750 0.500  0.12
Mn 0.875 0.835 0.750  3.51
Mn 0.165 0.625 0.250  3.51
Mn 0.585 0.125 0.250  3.49
Pb 0.750 0.250 0.500  -0.09
Pb 0.000 0.000 0.000  -0.08



Computed, not measured: a relaxed structure of RbSiPtN2 at the PBE level of DFT.

Calculated values
* total energy: -2.801 eV/atom
* D(E_F): 0.647 states/eV/atom
* V: 25.3 Å³ per atom

Unit cell a=4.067 b=7.639 c=4.067 alpha=90.00 beta=90.00 gamma=90.00
Each line ends with the local moment (μB).
Atoms (fractional coordinates):
Pt 0.500 0.500 0.500  0.06
N 0.500 0.000 0.000  0.59
Si 0.000 0.500 0.000  -0.01
Rb 0.000 0.000 0.000  0.01
N 0.000 0.000 0.500  0.90



Computed, not measured: a relaxed structure of SiSbRh3 at the PBE level of DFT.

Calculated values
* D(E_F): 2.147 states/eV/atom
* polymorph energy (0 for the lowest one): 0.000 eV/atom
* V: 17.9 Å³ per atom

Unit cell a=4.469 b=4.469 c=4.469 alpha=90.00 beta=90.00 gamma=90.00
Atoms (fractional coordinates):
Rh 0.500 0.000 0.000
Si 0.000 0.000 0.000
Rh 0.000 0.000 0.500
Sb 0.500 0.500 0.500
Rh 0.000 0.500 0.000



Computed, not measured: a relaxed structure of CsAu2F at the PBE level of DFT.

Calculated values
* total energy: -2.184 eV/atom
* D(E_F): 0.857 states/eV/atom
* V: 26.6 Å³ per atom

Unit cell a=5.317 b=5.317 c=5.317 alpha=60.00 beta=60.00 gamma=60.00
Atoms (fractional coordinates):
Cs 0.500 0.500 0.500
F 0.000 0.000 0.000
Au 0.250 0.250 0.250
Au 0.750 0.750 0.750



Computed, not measured: a relaxed structure of La2MgZnH at the PBE level of DFT.

Calculated values
* D(E_F): 0.673 states/eV/atom
* polymorph energy (0 for the lowest one): 0.017 eV/atom
* V: 22.7 Å³ per atom

Unit cell a=5.282 b=5.282 c=4.071 alpha=90.00 beta=90.00 gamma=90.00
Atoms (fractional coordinates):
La 0.500 0.000 0.000
H 0.000 0.000 0.000
Mg 0.500 0.500 0.500
La 0.000 0.500 0.000
Zn 0.000 0.000 0.500



Repeat the first record exactly.
Computed, not measured: a relaxed structure of Pu5PSe4 at the PBE level of DFT.

Calculated values
* total energy: -10.540 eV/atom
* D(E_F): 5.063 states/eV/atom
* V: 24.7 Å³ per atom

Unit cell a=5.814 b=7.140 c=7.140 alpha=80.46 beta=65.97 gamma=65.97
Each line ends with the local moment (μB).
Atoms (fractional coordinates):
Se 0.805 0.794 0.598  -0.07
Se 0.599 0.598 0.206  -0.07
P 0.001 0.000 0.000  -0.05
Pu 0.710 0.193 0.389  5.29
Se 0.197 0.206 0.402  -0.07
Se 0.403 0.402 0.794  -0.07
Pu 0.292 0.807 0.611  5.29
Pu 0.903 0.389 0.807  5.29
Pu 0.501 0.000 0.000  -5.21
Pu 0.099 0.611 0.193  5.29



> Look up the D(E_F) of the fourth one.

2.147 states/eV/atom



> What is the V in the second record?

18.8 Å³ per atom



> What is the D(E_F) in the fifth record?

0.857 states/eV/atom